Entry one
Computed, not measured: Li3CrB2O6 at its PBEsol-relaxed geometry at the SCAN level of DFT.

Summary:
For the mass density, the calculation gives 3.0 g/cm3. The total magnetization is 3.0 μB/f.u.

a b c (Å): 5.199 5.625 7.277
angles (deg): 80.76 88.53 87.84
Space group P-1 (No. 2)
Unique sites:
1 Li 0.113 0.244 0.457
2 Li 0.180 0.984 0.771
3 Li 0.300 0.158 0.134
4 Cr 0.396 0.462 0.800
5 B 0.157 0.634 0.107
6 B 0.335 0.808 0.436
7 O 0.093 0.290 0.922
8 O 0.156 0.952 0.334
9 O 0.245 0.462 0.250
10 O 0.258 0.706 0.615
11 O 0.363 0.722 0.983
12 O 0.415 0.221 0.636

=====

Entry two
Computed, not measured: Li3CrB2O6 at its PBEsol-relaxed geometry at the SCAN level of DFT.

Summary:
For the mass density, the calculation gives 2.9 g/cm3. The total magnetization is 3.0 μB/f.u.

a b c (Å): 8.917 5.800 9.451
angles (deg): 90.00 116.24 90.00
Space group P2_1/c (No. 14)
Unique sites:
1 Li 0.106 0.227 0.484
2 Li 0.255 0.510 0.263
3 Li 0.376 0.743 0.593
4 Cr 0.264 0.021 0.273
5 B 0.061 0.684 0.823
6 B 0.430 0.198 0.060
7 O 0.087 0.239 0.675
8 O 0.094 0.728 0.695
9 O 0.192 0.563 0.941
10 O 0.305 0.084 0.082
11 O 0.411 0.234 0.907
12 O 0.424 0.736 0.814

=====

Least stable of them? entry one.